Mg5In2Hg2 (PBE, optimized geometry); electronic total energy = -1.66 eV per atom; volume = 23.94 Å³/atom; energy relative to the elements = -0.09 eV/atom
1.0
7.597 -3.753 0.000
7.597 3.753 0.000
0.000 0.000 7.557
Mg In Hg
10 4 4
Direct
0.000 0.000 0.000
0.035 0.709 0.666
0.209 0.535 0.166
0.291 0.965 0.666
0.465 0.791 0.166
0.500 0.500 0.500
0.535 0.209 0.834
0.709 0.035 0.334
0.791 0.465 0.834
0.965 0.291 0.334
0.213 0.213 0.000
0.287 0.287 0.500
0.713 0.713 0.500
0.787 0.787 0.000
0.141 0.859 0.357
0.359 0.641 0.857
0.641 0.359 0.143
0.859 0.141 0.643